(1)
# Ce2PuNi4Sb3 PBE-GGA relaxed
data_Ce2PuNi4Sb3
_cell_length_a 4.4592
_cell_length_b 4.4592
_cell_length_c 10.2322
_cell_angle_alpha 90.00
_cell_angle_beta 90.00
_cell_angle_gamma 90.00
_space_group_name_H-M_alt 'P -4 m 2'
_space_group_IT_number 115
_space_group_name_Hall 'P -4 -2'
loop_
_atom_site_label
_atom_site_fract_x
_atom_site_fract_y
_atom_site_fract_z
Ce1 0.0000 0.5000 0.2290
Pu1 0.0000 0.0000 0.5000
Ni1 0.0000 0.0000 0.0000
Ni2 0.0000 0.5000 0.6374
Ni3 0.5000 0.5000 0.0000
Sb1 0.0000 0.5000 0.8767
Sb2 0.5000 0.5000 0.5000
# - Total moment: 6.92 μB/f.u.
# - Mass density: 9.18 g/cm³
# - Formation energy without anion corrections: -0.55 eV per atom
# - Fermi-level density of states: 18.97 states/eV/cell
# - E: -6.721 eV per atom

***

(2)
# CePu2Si2Ni2 PBE-GGA relaxed
data_CePu2Si2Ni2
_cell_length_a 3.9033
_cell_length_b 3.9033
_cell_length_c 27.1089
_cell_angle_alpha 90.00
_cell_angle_beta 90.00
_cell_angle_gamma 120.00
_space_group_name_H-M_alt 'R -3 m'
_space_group_IT_number 166
_space_group_name_Hall '-R 3 2"'
loop_
_atom_site_label
_atom_site_fract_x
_atom_site_fract_y
_atom_site_fract_z
Ce1 0.0000 0.0000 0.0000
Pu1 0.0000 0.0000 0.1480
Si1 0.0000 0.0000 0.2544
Ni1 0.0000 0.0000 0.4032
# - Total moment: 2.47 μB/f.u.
# - Mass density: 11.16 g/cm³
# - Formation energy without anion corrections: -0.46 eV per atom
# - Fermi-level density of states: 34.60 states/eV/cell
# - E: -8.605 eV per atom

***

(3)
# CePuNiSn2 PBE-GGA relaxed
data_CePuNiSn2
_cell_length_a 4.1350
_cell_length_b 4.1350
_cell_length_c 14.4054
_cell_angle_alpha 90.00
_cell_angle_beta 90.00
_cell_angle_gamma 90.00
_space_group_name_H-M_alt 'P 4/n m m'
_space_group_IT_number 129
loop_
_space_group_symop_operation_xyz
'x,y,z'
'-x,-y,-z'
'-y+1/2,x,z'
'y+1/2,-x,-z'
'-x+1/2,-y+1/2,z'
'x+1/2,y+1/2,-z'
'y,-x+1/2,z'
'-y,x+1/2,-z'
'x+1/2,-y,-z'
'-x+1/2,y,z'
'-y,-x,-z'
'y,x,z'
'-x,y+1/2,-z'
'x,-y+1/2,z'
'y+1/2,x+1/2,-z'
'-y+1/2,-x+1/2,z'
loop_
_atom_site_label
_atom_site_fract_x
_atom_site_fract_y
_atom_site_fract_z
Ce1 0.2500 0.7500 0.0000
Pu1 0.2500 0.2500 0.2562
Ni1 0.2500 0.2500 0.6446
Sn1 0.2500 0.2500 0.4652
Sn2 0.2500 0.2500 0.8281
# - Total moment: 5.25 μB/f.u.
# - Mass density: 9.17 g/cm³
# - ΔH_f (0 K): -37 meV per atom
# - Fermi-level density of states: 31.58 states/eV/cell
# - E: -6.848 eV per atom

***

(4)
# CePuZnNi PBE-GGA relaxed
data_CePuZnNi
_cell_length_a 6.6851
_cell_length_b 6.6851
_cell_length_c 6.6851
_cell_angle_alpha 90.00
_cell_angle_beta 90.00
_cell_angle_gamma 90.00
_space_group_name_H-M_alt 'F -4 3 m'
_space_group_IT_number 216
_space_group_name_Hall 'F -4 2 3'
loop_
_atom_site_label
_atom_site_fract_x
_atom_site_fract_y
_atom_site_fract_z
Ce1 0.0000 0.0000 0.0000
Pu1 0.2500 0.2500 0.2500
Zn1 0.0000 0.0000 0.5000
Ni1 0.2500 0.2500 0.7500
# - Total moment: 6.02 μB/f.u.
# - Mass density: 11.30 g/cm³
# - ΔH_f (0 K): -185 meV per atom
# - Fermi-level density of states: 22.04 states/eV/cell
# - E: -7.015 eV per atom